This record from the Alexandria database describes an optimized crystal structure of CePmC4. The functional is PBE.

Cell lengths 3.794, 3.794, 6.384 Å; angles 90.00, 90.25, 90.00 degrees
Space group P2/m (No. 10)
One atom of each set of equivalent atoms:
Ce (0.000, 0.000, 0.000) x1
Pm (0.500, 0.500, 0.500) x1
C (0.000, 0.000, 0.398) x2
C (0.499, 0.500, 0.102) x2

Summary:
* calculated formation energy: -0.14 eV/atom


This record from the Alexandria database describes an optimized crystal structure of Ce2PmC. The functional is PBE.

Cell lengths 3.5648, 3.5648, 27.3649 Å; angles 90.00, 90.00, 120.00 degrees
Space group R3m (No. 160, hexagonal axes)
One atom of each set of equivalent atoms:
Ce (0.0000, 0.0000, 0.0000) x3
Ce (0.0000, 0.0000, 0.2285) x3
Pm (0.0000, 0.0000, 0.4501) x3
C (0.0000, 0.0000, 0.6155) x3

Summary:
* energy relative to the lowest polymorph listed for this composition: 0 meV per atom
* calculated formation energy: -0.07 eV/atom


This record from the Alexandria database describes an optimized crystal structure of CePmC. The functional is PBE.

Cell lengths 3.220, 3.220, 12.329 Å; angles 90.00, 90.00, 90.00 degrees
Space group I4mm (No. 107)
One atom of each set of equivalent atoms:
Ce (0.000, 0.000, 0.000) x2
Pm (0.000, 0.000, 0.228) x2
C (0.000, 0.000, 0.607) x2

Summary:
* energy relative to the lowest polymorph listed for this composition: 360 meV per atom
* calculated formation energy: 0.23 eV/atom


This record from the Alexandria database describes an optimized crystal structure of CePm3C8. The functional is PBE.

Cell lengths 10.119, 10.132, 7.853 Å; angles 90.00, 90.00, 90.00 degrees
Space group Fmm2 (No. 42)
One atom of each set of equivalent atoms:
Ce (0.000, 0.000, 0.000) x4
Pm (0.000, 0.000, 0.500) x4
Pm (0.250, 0.250, 0.250) x8
C (0.000, 0.163, 0.232) x8
C (0.000, 0.233, 0.635) x8
C (0.163, 0.000, 0.766) x8
C (0.233, 0.000, 0.363) x8

Summary:
* calculated formation energy: 0.15 eV/atom


This record from the Alexandria database describes an optimized crystal structure of Ce2PmReC4. The functional is PBE.

Cell lengths 3.565, 12.088, 12.607 Å; angles 90.00, 90.00, 90.00 degrees
Space group Cmcm (No. 63)
One atom of each set of equivalent atoms:
Ce (0.000, 0.131, 0.039) x8
Pm (0.000, 0.398, 0.250) x4
Re (0.000, 0.337, 0.750) x4
C (0.000, 0.080, 0.250) x4
C (0.000, 0.238, 0.632) x8
C (0.000, 0.500, 0.000) x4

Summary:
* calculated formation energy: -0.02 eV/atom


This record from the Alexandria database describes an optimized crystal structure of CePmCSe. The functional is PBE.

Cell lengths 3.962, 3.962, 5.677 Å; angles 90.00, 90.00, 90.00 degrees
Space group P4/mmm (No. 123)
One atom of each set of equivalent atoms:
Ce (0.000, 0.000, 0.000) x1
Pm (0.500, 0.500, 0.500) x1
C (0.500, 0.500, 0.000) x1
Se (0.000, 0.000, 0.500) x1

Summary:
* ΔE_f (raw): -0.77 eV per atom